DFT (PBE) results for RbAsH2IrSe after structural relaxation.

The structure in POSCAR format:
```
RbAsH2IrSe
1.0
5.3173 0.0000 0.0000
0.0000 3.9836 0.0000
-0.8866 0.0000 5.9945
Rb As H Ir Se
1 1 2 1 1
Direct
0.1784 0.5000 0.3310
0.6503 0.0000 0.0249
0.3664 0.0000 0.0692
0.3844 0.5000 0.8191
0.6740 0.5000 0.7943
0.7346 0.0000 0.5490
```

total energy = -26.007 eV for the cell shown
polymorph energy (0 for the lowest one) = 33 kJ/mol of formula units